No. 1
DFT (GGA+U) results for crystalline KCrInO4 at its relaxed geometry.

Summary:
Crystal system ... monoclinic
Mass density ... 3.2 g cm⁻³
DFT total energy ... -5.843 eV per atom
Magnetic moment ... 0.00 μB/cell

Unit cell a=6.5269 b=5.9182 c=8.0143 alpha=90.00 beta=113.27 gamma=90.00
With the nearest neighbours (Å) after each atom.
Fractional coordinates of all 14 atoms:
K (0.7244, 0.7500, 0.9843)  5 O 2.72-2.88
K (0.2756, 0.2500, 0.0157)  5 O 2.72-2.88
Cr (0.2804, 0.7500, 0.2754)  4 O 1.66-1.69
Cr (0.7196, 0.2500, 0.7246)  4 O 1.66-1.69
In (0.8280, 0.7500, 0.5365)  3 O 2.40
In (0.1720, 0.2500, 0.4635)  3 O 2.40
O (0.8824, 0.4822, 0.7745)  1 Cr 1.69
O (0.1176, 0.9822, 0.2255)  1 Cr 1.69
O (0.1176, 0.5178, 0.2255)  1 Cr 1.69
O (0.8824, 0.0178, 0.7745)  1 Cr 1.69
O (0.4437, 0.7500, 0.1604)  1 Cr 1.66
O (0.5563, 0.2500, 0.8396)  1 Cr 1.66
O (0.4434, 0.7500, 0.4969)  1 Cr 1.67
O (0.5566, 0.2500, 0.5031)  1 Cr 1.67


No. 2
DFT (GGA+U) results for crystalline K2CrInO4 at its relaxed geometry.

Summary:
Crystal system ... monoclinic
Mass density ... 4.6 g cm⁻³
DFT total energy ... -5.687 eV per atom
Magnetic moment ... 3.00 μB/cell

Unit cell a=3.2415 b=5.6313 c=6.3820 alpha=107.14 beta=90.00 gamma=90.00
With the nearest neighbours (Å) after each atom.
Fractional coordinates of all 8 atoms:
K (0.5000, 0.0000, 0.5000)  6 O 2.76-2.77
K (0.0000, 0.5000, 0.5000)  6 O 2.66-2.67
Cr (0.5000, 0.5000, 0.0000)  6 O 2.10-2.12
In (0.0000, 0.0000, 0.0000)  6 O 2.22-2.24
O (0.5000, 0.2447, 0.1816)  1 Cr 2.10, 2 In 2.22
O (0.5000, 0.7553, 0.8184)  1 Cr 2.10, 2 In 2.22
O (0.0000, 0.2907, 0.8242)  2 Cr 2.12, 1 In 2.24
O (0.0000, 0.7093, 0.1758)  2 Cr 2.12, 1 In 2.24


No. 3
DFT (GGA+U) results for crystalline K2CrIn2O6 at its relaxed geometry.

Summary:
Crystal system ... monoclinic
Mass density ... 4.5 g cm⁻³
DFT total energy ... -5.651 eV per atom
Magnetic moment ... 1.94 μB/cell

Unit cell a=5.5299 b=5.5299 c=6.5485 alpha=98.27 beta=98.27 gamma=119.29
With the nearest neighbours (Å) after each atom.
Fractional coordinates of all 11 atoms:
K (0.8316, 0.1684, 0.0000)  6 O 2.71-2.87
K (0.1684, 0.8316, 0.0000)  6 O 2.71-2.87
Cr (0.0000, 0.0000, 0.5000)  6 O 1.99
In (0.3355, 0.6645, 0.5000)  6 O 2.21-2.23
In (0.6645, 0.3355, 0.5000)  6 O 2.21-2.23
O (0.7576, 0.7576, 0.6722)  1 Cr 1.99, 2 In 2.21
O (0.0550, 0.3598, 0.6714)  1 Cr 1.99, 1 In 2.22
O (0.2424, 0.2424, 0.3278)  1 Cr 1.99, 2 In 2.21
O (0.3598, 0.0550, 0.6714)  1 Cr 1.99, 1 In 2.22
O (0.9450, 0.6402, 0.3286)  1 Cr 1.99, 1 In 2.22
O (0.6402, 0.9450, 0.3286)  1 Cr 1.99, 1 In 2.22